# 1
Here is a relaxed structure of LaScRe2 from the Alexandria database. Energies are from PBE.

Unit cell a=3.4410 b=4.7796 c=4.7796 alpha=90.00 beta=90.00 gamma=90.00
Fractional positions:
Sc 0.5000 0.5000 0.0000
La 0.5000 0.0000 0.5000
Re 0.0000 0.0000 0.0000
Re 0.0000 0.5000 0.5000

Output
Its space group is P4/mmm (123).



# 2
Here is a relaxed structure of La2ScRe from the Alexandria database. Energies are from PBE.

Unit cell a=4.9997 b=4.9997 c=4.9997 alpha=113.46 beta=113.46 gamma=101.75
Fractional positions:
La 0.0000 0.0000 0.0000
La 0.2500 0.7500 0.5000
Sc 0.7500 0.2500 0.5000
Re 0.5000 0.5000 0.0000

Output
Its space group is I-4m2 (119).



# 3
Here is a relaxed structure of LaSc2Re from the Alexandria database. Energies are from PBE.

Unit cell a=4.9605 b=4.9605 c=4.9605 alpha=60.00 beta=60.00 gamma=60.00
Fractional positions:
La 0.0000 0.0000 0.0000
Re 0.5000 0.5000 0.5000
Sc 0.7500 0.7500 0.7500
Sc 0.2500 0.2500 0.2500

Output
Its space group is Fm-3m (225).



# 4
Here is a relaxed structure of LaScRe2 from the Alexandria database. Energies are from PBE.

Unit cell a=4.7924 b=4.7924 c=4.7924 alpha=60.00 beta=60.00 gamma=60.00
Fractional positions:
Re 0.2500 0.2500 0.2500
Sc 0.0000 0.0000 0.0000
La 0.5000 0.5000 0.5000
Re 0.7500 0.7500 0.7500

Output
Its space group is Fm-3m (225).



# 5
Here is a relaxed structure of LaSc2Re from the Alexandria database. Energies are from PBE.

Unit cell a=3.1327 b=3.1327 c=10.2783 alpha=90.00 beta=90.00 gamma=112.54
Fractional positions:
Sc 0.0000 0.0000 0.9428
La 0.5000 0.5000 0.2500
Re 0.5000 0.5000 0.7500
Sc 0.0000 0.0000 0.5572

Output
Its space group is Cmmm (65).



# 6
Here is a relaxed structure of LaScRe2 from the Alexandria database. Energies are from PBE.

Unit cell a=10.4293 b=10.4293 c=10.4293 alpha=16.65 beta=16.65 gamma=16.65
Fractional positions:
La 0.7419 0.7419 0.7419
Re 0.2555 0.2555 0.2555
Sc 0.5153 0.5153 0.5153
Re 0.9873 0.9873 0.9873

Output
Its space group is R3m (160).



# 7
Here is a relaxed structure of LaScRe2 from the Alexandria database. Energies are from PBE.

Unit cell a=5.2416 b=5.2416 c=5.6215 alpha=71.30 beta=71.30 gamma=42.61
Fractional positions:
Sc 0.2500 0.2500 0.2500
Re 0.4997 0.4997 0.3811
La 0.7500 0.7500 0.7500
Re 0.0003 0.0003 0.1189

Output
Its space group is C2/m (12).



# 8
Here is a relaxed structure of La2ScRe from the Alexandria database. Energies are from PBE.

Unit cell a=5.1362 b=5.1362 c=5.1362 alpha=60.00 beta=60.00 gamma=60.00
Fractional positions:
Re 0.5000 0.5000 0.5000
Sc 0.7500 0.7500 0.7500
La 0.2500 0.2500 0.2500
La 0.0000 0.0000 0.0000

Output
Its space group is F-43m (216).



# 9
Here is a relaxed structure of LaScRe2 from the Alexandria database. Energies are from PBE.

Unit cell a=4.3504 b=3.0511 c=6.6017 alpha=74.55 beta=90.00 gamma=90.00
Fractional positions:
Sc 0.5000 0.2500 0.2500
Re 0.0000 0.6276 0.4352
Re 0.0000 0.8724 0.0648
La 0.5000 0.7500 0.7500

Output
Its space group is P2/m (10).



# 10
Here is a relaxed structure of LaScRe2 from the Alexandria database. Energies are from PBE.

Unit cell a=3.2491 b=4.8147 c=4.8414 alpha=90.00 beta=90.00 gamma=90.00
Fractional positions:
La 0.0000 0.5000 0.5000
Re 0.5000 0.5000 0.0000
Re 0.0000 0.0000 0.0000
Sc 0.5000 0.0000 0.5000

Output
Its space group is Pmmm (47).



# 11
Here is a relaxed structure of La2ScRe from the Alexandria database. Energies are from PBE.

Unit cell a=4.4750 b=3.6314 c=6.8404 alpha=69.02 beta=90.00 gamma=90.00
Fractional positions:
Sc 0.5000 0.7500 0.7500
La 0.0000 0.4184 0.4732
Re 0.5000 0.2500 0.2500
La 0.0000 0.0816 0.0268

Output
Its space group is P2/m (10).



# 12
Here is a relaxed structure of LaScRe2 from the Alexandria database. Energies are from PBE.

Unit cell a=4.7507 b=4.7507 c=4.7507 alpha=60.00 beta=60.00 gamma=60.00
Fractional positions:
Re 0.2500 0.2500 0.2500
La 0.5000 0.5000 0.5000
Sc 0.7500 0.7500 0.7500
Re 0.0000 0.0000 0.0000

Output
Its space group is F-43m (216).



Sequential E_form output: 0.56 0.32 0.22 0.47 0.14 0.45 0.36 0.34 0.34 0.51 0.39 0.37 eV/atom
Sequential ρ output: 11.8 8.9 8.0 11.9 7.4 11.4 9.4 8.8 10.9 12.2 8.1 12.2 g cm⁻³
Sequential ΔE to the lowest computed polymorph output: 529.6 153.0 207.9 440.1 130.1 421.7 331.8 177.0 312.7 488.7 221.2 346.1 meV per atom